# 1
Computed, not measured: an optimized crystal structure of Pr4InGa2 at the PBE level of DFT.

Energy relative to the lowest polymorph listed for this composition ... 0 meV/atom
Total energy ... -4.375 eV/atom
Energy relative to the elements ... -0.388 eV/atom
Magnetic moment ... 0.000 μB per atom
Crystal system ... trigonal

The structure in extended XYZ format:
```
7
Lattice="2.6398 1.5241 8.5277 -2.6398 1.5241 8.5277 0.0000 -3.0482 8.5277" Properties=species:S:1:pos:R:3 pbc="T T T"
Pr 0.0000 0.0000 2.9701
Pr 0.0000 0.0000 9.4367
Pr 0.0000 0.0000 16.1463
Pr 0.0000 0.0000 22.6129
In 0.0000 0.0000 12.7915
Ga 0.0000 0.0000 6.3408
Ga 0.0000 0.0000 19.2422
```

***

# 2
Computed, not measured: an optimized crystal structure of HfTiMo2 at the PBE level of DFT.

Energy relative to the lowest polymorph listed for this composition ... 7 meV/atom
Total energy ... -9.884 eV/atom
Energy relative to the elements ... -0.006 eV/atom
Magnetic moment ... 0.000 μB per atom
Crystal system ... cubic

The structure in extended XYZ format:
```
4
Lattice="0.0000 3.2433 3.2433 3.2433 0.0000 3.2433 3.2433 3.2433 0.0000" Properties=species:S:1:pos:R:3 pbc="T T T"
Hf 0.0000 0.0000 0.0000
Ti 3.2433 3.2433 3.2433
Mo 1.6217 1.6217 1.6217
Mo 4.8650 4.8650 4.8650
```